#one
Here is a geometry-optimized Sr2HfH structure from Alexandria via LeMat-Bulk. Energies are from PBE.

Values from the calculation:
DOS(E_F), states/eV per atom: 1.302
SG: I-42d

a = 7.399 Å, b = 7.399 Å, c = 6.692 Å
α = 56.44°, β = 56.44°, γ = 90.00°
Positions (direct):
Sr: 0.875 0.751 0.750
Sr: 0.249 0.625 0.250
Sr: 0.501 0.125 0.250
Sr: 0.375 0.499 0.750
H: 0.250 0.750 0.500
H: 0.500 0.500 0.000
Hf: 0.000 0.000 0.000
Hf: 0.750 0.250 0.500

---

#two
Here is a geometry-optimized Sr2HfH structure from Alexandria via LeMat-Bulk. Energies are from PBE.

Values from the calculation:
DOS(E_F), states/eV per atom: 0.958
SG: Fm-3m

a = 5.630 Å, b = 5.630 Å, c = 5.630 Å
α = 60.00°, β = 60.00°, γ = 60.00°
Positions (direct):
H: 0.000 0.000 0.000
Sr: 0.250 0.250 0.250
Sr: 0.750 0.750 0.750
Hf: 0.500 0.500 0.500

---

Result of the stability comparison: #two is the least stable of them.

---

#one
Here is a geometry-optimized SrHfH3 structure from Alexandria via LeMat-Bulk. Energies are from PBE.

Values from the calculation:
DOS(E_F), states/eV per atom: 2.010
SG: Pm-3m

a = 4.193 Å, b = 4.193 Å, c = 4.193 Å
α = 90.00°, β = 90.00°, γ = 90.00°
Positions (direct):
H: 0.000 0.500 0.000
H: 0.500 0.000 0.000
H: 0.000 0.000 0.500
Sr: 0.000 0.000 0.000
Hf: 0.500 0.500 0.500

---

#two
Here is a geometry-optimized SrHfH3 structure from Alexandria via LeMat-Bulk. Energies are from PBE.

Values from the calculation:
DOS(E_F), states/eV per atom: 0.711
SG: Pm-3m

a = 4.053 Å, b = 4.053 Å, c = 4.053 Å
α = 90.00°, β = 90.00°, γ = 90.00°
Positions (direct):
H: 0.500 0.000 0.000
H: 0.000 0.500 0.000
H: 0.000 0.000 0.500
Hf: 0.000 0.000 0.000
Sr: 0.500 0.500 0.500

---

Result of the stability comparison: #one is the least stable of them.

---

#one
Here is a geometry-optimized SrHfH2 structure from Alexandria via LeMat-Bulk. Energies are from PBE.

Values from the calculation:
DOS(E_F), states/eV per atom: 0.608
SG: I-42d

a = 5.561 Å, b = 5.561 Å, c = 5.832 Å
α = 61.52°, β = 61.52°, γ = 90.00°
Positions (direct):
Sr: 0.500 0.500 0.000
Sr: 0.250 0.750 0.500
H: 0.049 0.625 0.250
H: 0.875 0.951 0.750
H: 0.701 0.125 0.250
H: 0.375 0.299 0.750
Hf: 0.750 0.250 0.500
Hf: 0.000 0.000 0.000

---

#two
Here is a geometry-optimized SrHfH2 structure from Alexandria via LeMat-Bulk. Energies are from PBE.

Values from the calculation:
DOS(E_F), states/eV per atom: 0.854
SG: Fm-3m

a = 4.509 Å, b = 4.509 Å, c = 4.509 Å
α = 60.00°, β = 60.00°, γ = 60.00°
Positions (direct):
H: 0.250 0.250 0.250
H: 0.750 0.750 0.750
Sr: 0.000 0.000 0.000
Hf: 0.500 0.500 0.500

---

Result of the stability comparison: #two is the least stable of them.